Computed, not measured: an optimized crystal structure of Sm2InPt5Rh2 at the PBE level of DFT.

Cell and atoms, written as POSCAR:
```
Sm2InPt5Rh2
1.0
9.4267 0.0000 0.0000
0.0000 9.4267 0.0000
0.0000 0.0000 4.1981
Sm In Pt Rh
4 2 10 4
direct
0.1696 0.3304 0.0000
0.3304 0.8304 0.0000
0.6696 0.1696 0.0000
0.8304 0.6696 0.0000
0.0000 0.0000 0.0000
0.5000 0.5000 0.0000
0.0000 0.5000 0.5000
0.0658 0.7951 0.5000
0.2049 0.0658 0.5000
0.2951 0.5658 0.5000
0.4342 0.2951 0.5000
0.5000 0.0000 0.5000
0.5658 0.7049 0.5000
0.7049 0.4342 0.5000
0.7951 0.9342 0.5000
0.9342 0.2049 0.5000
0.1276 0.6276 0.0000
0.3724 0.1276 0.0000
0.6276 0.8724 0.0000
0.8724 0.3724 0.0000
```

Computed properties:
* E_form: -0.718 eV per atom